## HoMg2Ni9 (PBE)

Data for crystalline HoMg2Ni9 at its relaxed geometry.

Lattice parameters (Å, degrees): 4.849 4.849 8.351 73.12 73.12 60.00
Fractional positions:
1 Ni 0.500 0.500 0.500
2 Ni 0.414 0.918 0.253
3 Ni 0.586 0.586 0.747
4 Mg 0.144 0.144 0.569
5 Ni 0.334 0.334 0.999
6 Ni 0.082 0.586 0.747
7 Ni 0.666 0.666 0.001
8 Ho 0.000 0.000 0.000
9 Ni 0.414 0.414 0.253
10 Ni 0.918 0.414 0.253
11 Ni 0.586 0.082 0.747
12 Mg 0.856 0.856 0.431

## Properties
Calculated total energy, eV per atom: -5.26
SG: R-3m, No. 166



## Ho3Mg3Ni (PBE)

Data for crystalline Ho3Mg3Ni at its relaxed geometry.

Lattice parameters (Å, degrees): 10.016 10.016 10.016 60.00 60.00 60.00
Fractional positions:
1 Mg 0.831 0.831 0.831
2 Mg 0.508 0.831 0.831
3 Ni 0.125 0.625 0.125
4 Mg 0.831 0.831 0.508
5 Mg 0.742 0.419 0.419
6 Mg 0.419 0.419 0.419
7 Ho 0.802 0.802 0.198
8 Ho 0.052 0.448 0.448
9 Ho 0.802 0.198 0.802
10 Ho 0.802 0.198 0.198
11 Mg 0.125 0.625 0.625
12 Ho 0.448 0.052 0.052
13 Ho 0.052 0.448 0.052
14 Ni 0.125 0.125 0.625
15 Mg 0.625 0.625 0.125
16 Ho 0.198 0.802 0.802
17 Ho 0.198 0.802 0.198
18 Mg 0.419 0.742 0.419
19 Mg 0.625 0.125 0.625
20 Ni 0.125 0.125 0.125
21 Mg 0.831 0.508 0.831
22 Ho 0.198 0.198 0.802
23 Ho 0.448 0.052 0.448
24 Mg 0.625 0.625 0.625
25 Mg 0.419 0.419 0.742
26 Ho 0.448 0.448 0.052
27 Ni 0.625 0.125 0.125
28 Ho 0.052 0.052 0.448

## Properties
Calculated total energy, eV per atom: -3.63
SG: Fd-3m, No. 227



## Ho5MgNi (PBE)

Data for crystalline Ho5MgNi at its relaxed geometry.

Lattice parameters (Å, degrees): 6.756 6.756 10.792 65.83 65.83 87.59
Fractional positions:
1 Mg 0.173 0.827 0.750
2 Ho 0.298 0.301 0.351
3 Ho 0.699 0.702 0.149
4 Ho 0.703 0.330 0.493
5 Ho 0.297 0.670 0.507
6 Ni 0.000 0.000 0.000
7 Ho 0.301 0.298 0.851
8 Ni 0.000 0.000 0.500
9 Ho 0.862 0.138 0.750
10 Mg 0.827 0.173 0.250
11 Ho 0.670 0.297 0.007
12 Ho 0.702 0.699 0.649
13 Ho 0.138 0.862 0.250
14 Ho 0.330 0.703 0.993

## Properties
Calculated total energy, eV per atom: -4.24
SG: C2/c, No. 15



## Ho3Mg5Ni2 (PBE)

Data for crystalline Ho3Mg5Ni2 at its relaxed geometry.

Lattice parameters (Å, degrees): 6.009 9.377 9.377 67.85 71.31 71.31
Fractional positions:
1 Mg 0.428 0.798 0.346
2 Ho 0.329 0.378 0.964
3 Ho 0.671 0.622 0.036
4 Mg 0.572 0.202 0.654
5 Mg 0.052 0.698 0.698
6 Mg 0.552 0.698 0.698
7 Ni 0.661 0.900 0.777
8 Ni 0.339 0.100 0.223
9 Ni 0.839 0.223 0.100
10 Ho 0.171 0.036 0.622
11 Ni 0.161 0.777 0.900
12 Ho 0.829 0.964 0.378
13 Mg 0.750 0.500 0.500
14 Mg 0.928 0.346 0.798
15 Mg 0.448 0.302 0.302
16 Ho 0.250 0.000 0.000
17 Mg 0.948 0.302 0.302
18 Mg 0.072 0.654 0.202
19 Ho 0.750 0.000 0.000
20 Mg 0.250 0.500 0.500

## Properties
Calculated total energy, eV per atom: -3.42
SG: Ibam, No. 72



## Ho4Mg3Ni (PBE)

Data for crystalline Ho4Mg3Ni at its relaxed geometry.

Lattice parameters (Å, degrees): 3.465 3.465 16.683 90.00 90.00 90.00
Fractional positions:
1 Mg 0.500 0.500 0.500
2 Ho 0.000 0.000 0.634
3 Ni 0.500 0.500 0.000
4 Mg 0.500 0.500 0.767
5 Mg 0.500 0.500 0.233
6 Ho 0.000 0.000 0.095
7 Ho 0.000 0.000 0.366
8 Ho 0.000 0.000 0.905

## Properties
Calculated total energy, eV per atom: -3.76
SG: P4/mmm, No. 123



## Ho2Mg3Ni2 (PBE)

Data for crystalline Ho2Mg3Ni2 at its relaxed geometry.

Lattice parameters (Å, degrees): 3.853 5.441 7.474 96.60 90.00 110.74
Fractional positions:
1 Mg 0.314 0.628 0.147
2 Mg 0.000 0.000 0.000
3 Ho 0.624 0.249 0.367
4 Ho 0.376 0.751 0.633
5 Ni 0.082 0.165 0.637
6 Ni 0.918 0.835 0.363
7 Mg 0.686 0.372 0.853

## Properties
Calculated total energy, eV per atom: -3.92
SG: C2/m, No. 12



## HoMgNi17 (PBE)

Data for crystalline HoMgNi17 at its relaxed geometry.

Lattice parameters (Å, degrees): 6.211 6.211 6.211 82.87 82.87 82.87
Fractional positions:
1 Ni 0.851 0.345 0.345
2 Ni 0.295 0.703 0.001
3 Ni 0.345 0.851 0.345
4 Ni 0.502 0.998 0.998
5 Ni 0.998 0.998 0.502
6 Ni 0.001 0.703 0.295
7 Ni 0.902 0.902 0.902
8 Ni 0.703 0.001 0.295
9 Ni 0.101 0.101 0.101
10 Ni 0.295 0.001 0.703
11 Ho 0.659 0.659 0.659
12 Ni 0.998 0.502 0.998
13 Mg 0.340 0.340 0.340
14 Ni 0.158 0.650 0.650
15 Ni 0.001 0.295 0.703
16 Ni 0.345 0.345 0.851
17 Ni 0.703 0.295 0.001
18 Ni 0.650 0.158 0.650
19 Ni 0.650 0.650 0.158

## Properties
Calculated total energy, eV per atom: -5.59
SG: R3m, No. 160



## Ho2MgNi12P3 (PBE)

Data for crystalline Ho2MgNi12P3 at its relaxed geometry.

Lattice parameters (Å, degrees): 6.250 6.250 6.250 84.97 84.97 84.97
Fractional positions:
1 Ho 0.651 0.651 0.651
2 P 0.500 0.000 0.000
3 Mg 0.000 0.000 0.000
4 P 0.000 0.500 0.000
5 Ni 0.100 0.623 0.623
6 Ni 0.685 0.181 0.181
7 Ni 0.181 0.685 0.181
8 P 0.000 0.000 0.500
9 Ni 0.623 0.623 0.100
10 Ni 0.377 0.900 0.377
11 Ni 0.377 0.377 0.900
12 Ni 0.819 0.819 0.315
13 Ni 0.315 0.819 0.819
14 Ni 0.819 0.315 0.819
15 Ni 0.900 0.377 0.377
16 Ni 0.623 0.100 0.623
17 Ni 0.181 0.181 0.685
18 Ho 0.349 0.349 0.349

## Properties
Calculated total energy, eV per atom: -5.56
SG: R-3m, No. 166



## HoMgNiPb (PBE)

Data for crystalline HoMgNiPb at its relaxed geometry.

Lattice parameters (Å, degrees): 4.944 4.944 4.944 60.00 60.00 60.00
Fractional positions:
1 Mg 0.250 0.250 0.250
2 Pb 0.500 0.500 0.500
3 Ni 0.000 0.000 0.000
4 Ho 0.750 0.750 0.750

## Properties
Calculated total energy, eV per atom: -4.08
SG: F-43m, No. 216



## HoMgNiPd (PBE)

Data for crystalline HoMgNiPd at its relaxed geometry.

Lattice parameters (Å, degrees): 4.675 4.675 4.675 60.00 60.00 60.00
Fractional positions:
1 Ho 0.750 0.750 0.750
2 Mg 0.250 0.250 0.250
3 Ni 0.000 0.000 0.000
4 Pd 0.500 0.500 0.500

## Properties
Calculated total energy, eV per atom: -4.83
SG: F-43m, No. 216



## HoMgNiPt (PBE)

Data for crystalline HoMgNiPt at its relaxed geometry.

Lattice parameters (Å, degrees): 4.663 4.663 4.663 60.00 60.00 60.00
Fractional positions:
1 Mg 0.750 0.750 0.750
2 Pt 0.500 0.500 0.500
3 Ho 0.250 0.250 0.250
4 Ni 0.000 0.000 0.000

## Properties
Calculated total energy, eV per atom: -5.19
SG: F-43m, No. 216



## Ho2MgSi3Ni4 (PBE)

Data for crystalline Ho2MgSi3Ni4 at its relaxed geometry.

Lattice parameters (Å, degrees): 3.997 3.997 9.722 90.00 90.00 90.00
Fractional positions:
1 Si 0.000 0.000 0.500
2 Ho 0.000 0.500 0.761
3 Ho 0.500 0.000 0.239
4 Ni 0.500 0.000 0.644
5 Mg 0.500 0.500 0.500
6 Ni 0.000 0.500 0.356
7 Si 0.500 0.000 0.876
8 Si 0.000 0.500 0.124
9 Ni 0.000 0.000 0.000
10 Ni 0.500 0.500 0.000

## Properties
Raw formation energy, eV per atom: -0.70
SG: P-4m2, No. 115



## HoMgSi2Ni2 (PBE)

Data for crystalline HoMgSi2Ni2 at its relaxed geometry.

Lattice parameters (Å, degrees): 4.061 4.061 6.599 90.00 90.00 120.00
Fractional positions:
1 Ni 0.667 0.333 0.319
2 Ni 0.333 0.667 0.681
3 Mg 0.000 0.000 0.500
4 Ho 0.000 0.000 0.000
5 Si 0.667 0.333 0.715
6 Si 0.333 0.667 0.285

## Properties
Raw formation energy, eV per atom: -0.64
SG: P-3m1, No. 164



## TbHoMgNi (PBE)

Data for crystalline TbHoMgNi at its relaxed geometry.

Lattice parameters (Å, degrees): 5.048 5.048 5.048 60.00 60.00 60.00
Fractional positions:
1 Ho 0.250 0.250 0.250
2 Ni 0.000 0.000 0.000
3 Mg 0.500 0.500 0.500
4 Tb 0.750 0.750 0.750

## Properties
Calculated total energy, eV per atom: -4.26
SG: F-43m, No. 216



## TbHoMgNi (PBE)

Data for crystalline TbHoMgNi at its relaxed geometry.

Lattice parameters (Å, degrees): 3.443 3.443 7.893 90.00 90.00 90.00
Fractional positions:
1 Ho 0.500 0.500 0.369
2 Mg 0.000 0.000 0.074
3 Tb 0.500 0.500 0.775
4 Ni 0.000 0.000 0.568

## Properties
Calculated total energy, eV per atom: -4.40
SG: P4mm, No. 99



## HoMgZn5Ni2 (PBE)

Data for crystalline HoMgZn5Ni2 at its relaxed geometry.

Lattice parameters (Å, degrees): 4.561 4.561 7.260 90.00 90.00 90.00
Fractional positions:
1 Zn 0.500 0.000 0.239
2 Zn 0.500 0.000 0.761
3 Mg 0.000 0.000 0.000
4 Ni 0.500 0.500 0.161
5 Zn 0.000 0.500 0.761
6 Ni 0.500 0.500 0.839
7 Ho 0.000 0.000 0.500
8 Zn 0.000 0.500 0.239
9 Zn 0.500 0.500 0.500

## Properties
Calculated total energy, eV per atom: -2.79
SG: P4/mmm, No. 123



## HoMgZnNi (PBE)

Data for crystalline HoMgZnNi at its relaxed geometry.

Lattice parameters (Å, degrees): 4.691 4.691 4.691 60.00 60.00 60.00
Fractional positions:
1 Mg 0.250 0.250 0.250
2 Ni 0.000 0.000 0.000
3 Ho 0.750 0.750 0.750
4 Zn 0.500 0.500 0.500

## Properties
Calculated total energy, eV per atom: -3.57
SG: F-43m, No. 216



## HoMgNpO6 (PBE)

Data for crystalline HoMgNpO6 at its relaxed geometry.

Lattice parameters (Å, degrees): 5.654 5.654 8.846 90.00 90.00 120.00
Fractional positions:
1 O 0.030 0.356 0.631
2 O 0.326 0.356 0.869
3 O 0.644 0.674 0.631
4 O 0.674 0.644 0.131
5 Ho 0.667 0.333 0.750
6 O 0.356 0.326 0.369
7 O 0.644 0.970 0.869
8 O 0.970 0.326 0.131
9 Np 0.667 0.333 0.250
10 O 0.970 0.644 0.369
11 O 0.030 0.674 0.869
12 Np 0.333 0.667 0.750
13 Mg 0.000 0.000 0.000
14 Mg 0.000 0.000 0.500
15 O 0.326 0.970 0.631
16 Ho 0.333 0.667 0.250
17 O 0.356 0.030 0.131
18 O 0.674 0.030 0.369

## Properties
Raw formation energy, eV per atom: -2.77
SG: P-31c, No. 163



## HoMgO (PBE)

Data for crystalline HoMgO at its relaxed geometry.

Lattice parameters (Å, degrees): 3.647 3.647 11.561 80.93 80.93 60.00
Fractional positions:
1 O 0.693 0.693 0.922
2 Mg 0.796 0.796 0.611
3 O 0.307 0.307 0.078
4 Ho 0.623 0.623 0.132
5 Ho 0.377 0.377 0.868
6 Mg 0.204 0.204 0.389

## Properties
Raw formation energy, eV per atom: -1.85
SG: R-3m, No. 166



## HoMg5O6 (PBE)

Data for crystalline HoMg5O6 at its relaxed geometry.

Lattice parameters (Å, degrees): 5.452 5.472 5.482 60.06 80.56 70.82
Fractional positions:
1 O 0.746 0.742 0.000
2 O 0.746 0.426 0.660
3 O 0.254 0.574 0.340
4 Mg 0.500 0.827 0.346
5 O 0.254 0.258 0.000
6 Mg 0.000 0.666 0.668
7 O 0.746 0.085 0.340
8 O 0.254 0.915 0.660
9 Ho 0.000 0.000 0.000
10 Mg 0.500 0.500 0.000
11 Mg 0.000 0.334 0.332
12 Mg 0.500 0.173 0.654

## Properties
Raw formation energy, eV per atom: -2.55
SG: C2/m, No. 12



M_tot across the listed records, respectively: 2.62 0.00 0.00 0.00 0.29 0.00 8.14 0.00 0.00 0.00 0.00 0.00 0.00 0.00 0.00 0.00 0.00 0.00 0.00 0.00 μB/f.u..